Entry 1:
Computed, not measured: an optimized crystal structure of Nd2Zn4Ag at the GGA-PBE level of DFT.

The energy relative to the elements comes out at -0.286 eV per atom.

The space group is P2_1/m (No. 11) and the conventional cell measures 5.922, 5.989 and 8.672 Å, with angles of 90.00, 104.27 and 90.00 degrees. The asymmetric unit holds Nd at (0.118, 0.250, 0.409), Nd at (0.268, 0.750, 0.025), Zn at (0.273, 0.250, 0.100), Zn at (0.312, 0.750, 0.408), Zn at (0.414, 0.533, 0.691) and Ag at (0.126, 0.250, 0.786).

=====

Entry 2:
Computed, not measured: an optimized crystal structure of Er2Sb at the GGA-PBE level of DFT.

The calculation puts the uncorrected formation energy at -0.670 eV per atom.

The space group is Cmc2_1 (No. 36) and the conventional cell measures 4.203, 16.738 and 9.702 Å, with angles of 90.00, 90.00 and 90.00 degrees. The asymmetric unit holds Er at (0.000, 0.029, 0.000), Er at (0.000, 0.154, 0.348), Er at (0.000, 0.307, 0.586), Er at (0.000, 0.358, 0.158), Sb at (0.000, 0.208, 0.862) and Sb at (0.000, 0.470, 0.760).

=====

Entry 3:
Computed, not measured: an optimized crystal structure of YTcB2Sb at the GGA-PBE level of DFT.

The calculation puts the uncorrected formation energy at 0.725 eV per atom.

The space group is P4/mmm (No. 123) and the conventional cell measures 4.251, 4.251 and 5.452 Å, with angles of 90.00, 90.00 and 90.00 degrees. The asymmetric unit holds Y at (0.000, 0.000, 0.000), Tc at (0.000, 0.000, 0.500), B at (0.000, 0.500, 0.500) and Sb at (0.500, 0.500, 0.000).

=====

Entry 4:
Computed, not measured: an optimized crystal structure of ThNi2Rh2 at the GGA-PBE level of DFT.

The energy relative to the elements comes out at -0.332 eV per atom.

The space group is I4/mmm (No. 139) and the conventional cell measures 3.941, 3.941 and 21.806 Å, with angles of 90.00, 90.00 and 90.00 degrees. The asymmetric unit holds Th at (0.000, 0.000, 0.125), Ni at (0.000, 0.000, 0.321), Ni at (0.000, 0.500, 0.000), Rh at (0.000, 0.000, 0.430) and Rh at (0.000, 0.500, 0.250).

=====

Entry 5:
Computed, not measured: an optimized crystal structure of Ac2ZnF at the GGA-PBE level of DFT.

The offset from the most stable computed form is 0.90 eV per formula unit. The calculation puts the uncorrected formation energy at -1.030 eV per atom.

The space group is P4/mmm (No. 123) and the conventional cell measures 3.676, 3.676 and 7.905 Å, with angles of 90.00, 90.00 and 90.00 degrees. The asymmetric unit holds Ac at (0.000, 0.000, 0.248), Zn at (0.500, 0.500, 0.000) and F at (0.500, 0.500, 0.500).

=====

Table of DOS at the Fermi energy (states/eV per cell), in record order: 10.81, 25.42, 5.51, 29.21, 4.28
Table of mass density (g/cm³), in record order: 7.3, 8.9, 5.6, 10.9, 8.4